The following is a DFT calculation (PBE-GGA) of a relaxed YErSiCl2 crystal.

Values from the calculation:
magnetization	0.0	μB/f.u.
VASP energy	-5.60	eV per atom

abc: 4.0367 4.0367 9.5877
angles: 90.00 90.00 120.00
Last column: nearest neighbours and their distance in Å.
Atoms (fractional coordinates):
1 Cl 0.0000 0.0000 0.1716  3 Er 2.80
2 Cl 0.3333 0.6667 0.8310  3 Y 2.81
3 Er 0.3333 0.6667 0.3326  3 Cl 2.80, 3 Si 2.82
4 Si 0.6667 0.3333 0.4979  3 Er 2.82, 3 Y 2.84
5 Y 0.0000 0.0000 0.6669  3 Cl 2.81, 3 Si 2.84